# CaInBr2, PBEsol geometry, DFT meta-GGA SCAN
# Fermi-level density of states (states/eV/f.u.): 2.11
# Energy relative to the elements, uncorrected (eV per atom): -1.067
# V (Å³/atom): 27.71
# SG: No. 47
data_CaInBr2
_chemical_formula_sum 'Ca1 In1 Br2'
_symmetry_space_group_name_H-M 'P 1'
_symmetry_Int_Tables_number 1
_cell_length_a 4.018
_cell_length_b 4.544
_cell_length_c 6.072
_cell_angle_alpha 90.00
_cell_angle_beta 90.00
_cell_angle_gamma 90.00
loop_
_symmetry_equiv_pos_as_xyz
'x,y,z'
loop_
_atom_site_label
_atom_site_type_symbol
_atom_site_fract_x
_atom_site_fract_y
_atom_site_fract_z
Ca1 Ca 0.000 0.000 0.000
In1 In 0.500 0.000 0.500
Br1 Br 0.000 0.500 0.500
Br2 Br 0.500 0.500 0.000